A plane-wave DFT calculation with PBE was carried out for a relaxed structure of ThTiNbGe2.

Summary:
For the spin magnetization, the calculation gives 0.0 μB per formula unit. Its space group is I-4m2. The density of states at the Fermi level is 2.011 states/eV per cell. Its total energy is -7.584 eV/atom.

```
ThTiNbGe2
1.0
-2.550 -2.244 -2.281
0.454 -3.141 2.582
-3.632 4.697 3.111
Th Ti Nb Ge
1 1 1 2
Direct
0.000 0.000 0.000 Th
0.250 0.750 0.500 Ti
0.750 0.250 0.500 Nb
0.607 0.607 0.214 Ge
0.393 0.393 0.786 Ge
```